A plane-wave DFT calculation with PBE was carried out for an optimized crystal structure of Sn2IrRu4.

Calculated values
The calculation puts the density of states at the Fermi level at 1.50 states/eV per atom. As for the calculated formation energy: 1.22 eV per atom. For the total moment, the calculation gives 3.51 μB per cell.

The structure in extended XYZ format:
```
7
Lattice="-4.658 0.064 0.450 -0.435 -1.992 -4.213 -2.352 -7.103 1.002" Properties=species:S:1:pos:R:3 pbc="T T T"
Ru -5.021 -4.201 -2.695
Ru -2.424 -4.830 -0.066
Ru -0.217 -0.996 -2.106
Ru -2.329 0.032 0.225
Ir 0.000 0.000 0.000
Sn -4.947 -6.548 -1.592
Sn -2.498 -2.482 -1.168
```